# 1
A plane-wave DFT calculation with PBE was carried out for a relaxed NaPm2Ag3 crystal.

Results
The value obtained for the final energy is -20.319 eV/cell. The mass density is 7.0 Mg/m³. The formation energy is -0.1576 eV/atom.

Lattice parameters (Å, degrees): 3.670 3.670 11.190 90.00 90.00 90.00
Space group P4/mmm (No. 123)
One atom of each set of equivalent atoms:
Na1 0.000 0.000 0.000 x1
Pm1 0.000 0.000 0.328 x2
Ag1 0.500 0.500 0.163 x2
Ag2 0.500 0.500 0.500 x1


# 2
A plane-wave DFT calculation with PBE was carried out for a relaxed Nd3Sm8Er crystal.

Results
The value obtained for the final energy is -56.285 eV/cell. The mass density is 7.3 Mg/m³. The formation energy is 0.0279 eV/atom.

Lattice parameters (Å, degrees): 6.367 8.626 8.646 85.33 68.42 68.51
Space group P1 (No. 1)
One atom of each set of equivalent atoms:
Nd1 0.000 0.000 0.000 x1
Nd2 0.001 0.497 0.502 x1
Nd3 0.667 0.751 0.253 x1
Sm1 0.001 0.920 0.422 x1
Sm2 0.002 0.417 0.919 x1
Sm3 0.335 0.085 0.587 x1
Sm4 0.336 0.166 0.165 x1
Sm5 0.336 0.663 0.669 x1
Sm6 0.339 0.583 0.084 x1
Sm7 0.668 0.331 0.337 x1
Sm8 0.668 0.834 0.833 x1
Er1 0.667 0.251 0.753 x1


# 3
A plane-wave DFT calculation with PBE was carried out for a relaxed SrLi2ZnNi crystal.

Results
The value obtained for the final energy is -12.604 eV/cell. The mass density is 3.5 Mg/m³. The formation energy is -0.0078 eV/atom.

Lattice parameters (Å, degrees): 4.765 4.765 4.747 90.00 90.00 90.00
Space group P4/mmm (No. 123)
One atom of each set of equivalent atoms:
Sr1 0.000 0.000 0.000 x1
Li1 0.000 0.500 0.500 x2
Zn1 0.500 0.500 0.000 x1
Ni1 0.500 0.500 0.500 x1


# 4
A plane-wave DFT calculation with PBE was carried out for a relaxed HoTiIrPd crystal.

Results
The value obtained for the final energy is -116.820 eV/cell. The mass density is 11.8 Mg/m³. The formation energy is -0.6696 eV/atom.

Lattice parameters (Å, degrees): 6.597 6.597 6.597 90.00 90.00 90.00
Space group F-43m (No. 216)
One atom of each set of equivalent atoms:
Ho1 0.000 0.000 0.000 x4
Ti1 0.000 0.000 0.500 x4
Ir1 0.250 0.250 0.750 x4
Pd1 0.250 0.250 0.250 x4


# 5
A plane-wave DFT calculation with PBE was carried out for a relaxed MgBeF crystal.

Results
The value obtained for the final energy is -44.908 eV/cell. The mass density is 2.3 Mg/m³.

Lattice parameters (Å, degrees): 2.884 3.807 13.620 90.00 90.00 90.00
Space group Immm (No. 71)
One atom of each set of equivalent atoms:
Mg1 0.000 0.000 0.162 x4
Be1 0.000 0.500 0.000 x2
Be2 0.000 0.500 0.500 x2
F1 0.000 0.500 0.227 x4


# 6
A plane-wave DFT calculation with PBE was carried out for a relaxed LiInSn crystal.

Results
The value obtained for the final energy is -14.271 eV/cell. The mass density is 3.7 Mg/m³. The formation energy is 0.5066 eV/atom.

Lattice parameters (Å, degrees): 4.7167 4.7167 11.3503 90.00 90.00 120.00
Space group P6_3/mmc (No. 194)
One atom of each set of equivalent atoms:
Li1 0.3333 0.6667 0.2500 x2
In1 0.0000 0.0000 0.2500 x2
Sn1 0.0000 0.0000 0.0000 x2


# 7
A plane-wave DFT calculation with PBE was carried out for a relaxed LaMgZnPd2 crystal.

Results
The value obtained for the final energy is -43.118 eV/cell. The mass density is 7.1 Mg/m³. The formation energy is -0.6755 eV/atom.

Lattice parameters (Å, degrees): 4.071 4.071 12.433 90.00 90.00 90.00
Space group I-4m2 (No. 119)
One atom of each set of equivalent atoms:
La1 0.000 0.000 0.000 x2
Mg1 0.000 0.500 0.250 x2
Zn1 0.000 0.500 0.750 x2
Pd1 0.000 0.000 0.389 x4


# 8
A plane-wave DFT calculation with PBE was carried out for a relaxed K4I2O9 crystal.

Results
The value obtained for the final energy is -134.355 eV/cell. The mass density is 3.4 Mg/m³.

Lattice parameters (Å, degrees): 6.2520 6.2520 15.9413 90.00 90.00 120.00
Space group P6_3/mmc (No. 194)
One atom of each set of equivalent atoms:
K1 0.0000 0.0000 0.0000 x2
K2 0.0000 0.0000 0.2500 x2
K3 0.3333 0.6667 0.1025 x4
I1 0.3333 0.6667 0.6585 x4
O1 0.0655 0.5328 0.7500 x6
O2 0.1848 0.3696 0.6044 x12